Record 1
PBE La2InCo, relaxed; uncorrected energy = -4.93 eV/atom; ΔE_f = -0.009 eV per atom; Fermi-level density of states = 5.5 states/eV/f.u.
1.0
2.003 1.156 8.363
-2.003 1.156 8.363
0.000 -2.313 8.363
La In Co
2 1 1
Direct
0.000 0.000 0.000
0.200 0.200 0.200
0.439 0.439 0.439
0.728 0.728 0.728



Record 2
PBE CoPRu, relaxed; uncorrected energy = -7.45 eV/atom; ΔE_f = -0.182 eV per atom; Fermi-level density of states = 3.5 states/eV/f.u.
1.0
1.478 0.853 5.085
-1.478 0.853 5.085
0.000 -1.706 5.085
Co P Ru
1 1 1
Direct
0.000 0.000 0.000
0.420 0.420 0.420
0.190 0.190 0.190



Record 3
PBE AgAsSe2, relaxed; energy relative to the elements, uncorrected = -0.0424 eV/atom; uncorrected energy = -3.66 eV/atom; Fermi-level density of states = 0.7 states/eV/f.u.
1.0
6.372 -1.897 0.000
6.372 1.897 0.000
-0.226 0.000 4.067
Ag As Se
1 1 2
Direct
0.000 0.000 0.000
0.291 0.291 0.511
0.480 0.480 0.506
0.745 0.745 0.113